A relaxed P3RuAu crystal. Source: Alexandria via LeMat-Bulk, functional GGA-PBEsol.

Cell lengths 4.6157, 4.6157, 4.6157 Å; angles 90.00, 90.00, 90.00 degrees
Each line ends with the local moment (μB).
Sites, in units of the cell vectors:
1 Ru 0.5000 0.5000 0.5000  0.05
2 Au 0.0000 0.0000 0.0000  0.00
3 P 0.0000 0.5000 0.0000  0.00
4 P 0.0000 0.0000 0.5000  0.00
5 P 0.5000 0.0000 0.0000  0.00

Values from the calculation:
Electronic total energy ... -4.63 eV per atom
Calculated density ... 6.60 g/cm³
Total moment ... 0.040 μB per formula unit
Energy of formation from the pure elements ... 1.67 eV/atom
Space-group type ... No. 221

A relaxed P2RuAu crystal. Source: Alexandria via LeMat-Bulk, functional GGA-PBEsol.

Cell lengths 3.0226, 4.3350, 4.3350 Å; angles 90.00, 90.00, 90.00 degrees
Sites, in units of the cell vectors:
1 Au 0.5000 0.0000 0.0000
2 P 0.0000 0.0000 0.5000
3 P 0.0000 0.5000 0.0000
4 Ru 0.5000 0.5000 0.5000

Values from the calculation:
Electronic total energy ... -6.13 eV per atom
Calculated density ... 10.52 g/cm³
Total moment ... 0.000 μB per formula unit
Energy of formation from the pure elements ... 0.29 eV/atom
Space-group type ... No. 123

- Which of these has the lowest electronic total energy?
  P2RuAu